{"formula": "V2SO8", "functional": "PBE+U", "state": "optimized geometry", "e_tot_ev_per_cell": -71.51, "spacegroup": "No. 12", "lattice": [[6.003, -2.439, 0.000], [6.003, 2.439, 0.000], [-0.488, 0.000, 4.767]], "species": ["V", "V", "S", "O", "O", "O", "O", "O", "O", "O", "O"], "frac_coords": [[0.152, 0.152, 0.449], [0.848, 0.848, 0.551], [0.000, 0.000, 0.000], [0.111, 0.111, 0.791], [0.164, 0.700, 0.800], [0.291, 0.291, 0.429], [0.300, 0.836, 0.200], [0.700, 0.164, 0.800], [0.709, 0.709, 0.571], [0.836, 0.300, 0.200], [0.889, 0.889, 0.209]]}